1.
PmPuAsSe | PBE | relaxed

Calculated values
total magnetic moment = 5.903 Bohr magnetons per cell
E_form (uncorrected) = -1.213 eV per atom
total energy = -32.1 eV/cell

Unit cell a=5.1152 b=5.1152 c=5.1152 alpha=60.00 beta=60.00 gamma=60.00
Each line ends with the local moment (μB).
Fractional coordinates of all 4 atoms:
Pu (0.7500, 0.7500, 0.7500)  -5.41
As (0.5000, 0.5000, 0.5000)  0.10
Pm (0.2500, 0.2500, 0.2500)  -0.28
Se (0.0000, 0.0000, 0.0000)  0.09

2.
Pm3Sm2PuAs6 | PBE | relaxed

Calculated values
total magnetic moment = 4.853 Bohr magnetons per cell
energy relative to the elements = -17.2 eV/f.u.
total energy = -83.1 eV/cell

Unit cell a=4.2163 b=8.4255 c=9.4108 alpha=102.94 beta=102.94 gamma=90.00
Each line ends with the local moment (μB).
Fractional coordinates of all 12 atoms:
Sm (0.1669, 0.3344, 0.3338)  -0.01
Sm (0.8331, 0.6656, 0.6662)  -0.01
Pm (0.5000, 0.5000, 0.0000)  0.00
Pm (0.8325, 0.1672, 0.6650)  -0.01
Pm (0.1675, 0.8328, 0.3350)  -0.01
As (0.3358, 0.9171, 0.6716)  0.04
As (0.9999, 0.7571, 0.9999)  0.07
As (0.3330, 0.4172, 0.6660)  0.01
As (0.6642, 0.0829, 0.3284)  0.04
As (0.6670, 0.5828, 0.3340)  0.01
As (0.0001, 0.2429, 0.0001)  0.07
Pu (0.5000, 0.0000, 0.0000)  -5.00

3.
Pm2SmPuAs4 | PBE | relaxed

Calculated values
total magnetic moment = 4.934 Bohr magnetons per cell
energy relative to the elements = -11.1 eV/f.u.
total energy = -58.3 eV/cell

Unit cell a=4.2117 b=7.2780 c=7.2790 alpha=109.46 beta=90.00 gamma=90.00
Each line ends with the local moment (μB).
Fractional coordinates of all 8 atoms:
As (0.5000, 0.2440, 0.2430)  -0.07
As (0.0000, 0.7523, 0.2458)  -0.04
As (0.0000, 0.2477, 0.7542)  -0.04
As (0.5000, 0.7560, 0.7570)  -0.07
Pm (0.5000, 0.0000, 0.5000)  0.02
Pm (0.0000, 0.5000, 0.5000)  0.00
Pu (0.0000, 0.0000, 0.0000)  5.02
Sm (0.5000, 0.5000, 0.0000)  0.01

4.
Tb2PmPuAs4 | PBE | relaxed

Calculated values
total magnetic moment = 4.935 Bohr magnetons per cell
energy relative to the elements = -11.2 eV/f.u.
total energy = -58.1 eV/cell

Unit cell a=4.1690 b=7.2003 c=7.2059 alpha=70.53 beta=90.00 gamma=90.00
Each line ends with the local moment (μB).
Fractional coordinates of all 8 atoms:
Tb (0.5000, 0.0000, 0.5000)  -0.02
Tb (0.0000, 0.0000, 0.0000)  0.01
Pu (0.5000, 0.5000, 0.0000)  5.03
As (0.5000, 0.2469, 0.7552)  -0.04
As (0.0000, 0.7501, 0.7541)  -0.07
As (0.5000, 0.7531, 0.2448)  -0.04
As (0.0000, 0.2499, 0.2459)  -0.07
Pm (0.0000, 0.5000, 0.5000)  0.02

5.
PmPuTeAs | PBE | relaxed

Calculated values
total magnetic moment = 5.609 Bohr magnetons per cell
E_form (uncorrected) = -1.316 eV per atom
total energy = -32.1 eV/cell

Unit cell a=4.3027 b=4.3027 c=7.5651 alpha=73.48 beta=73.48 gamma=60.00
Each line ends with the local moment (μB).
Fractional coordinates of all 4 atoms:
Pu (0.9919, 0.9919, 0.0243)  -5.34
Pm (0.5084, 0.5084, 0.4748)  -0.05
As (0.2514, 0.2514, 0.2457)  0.07
Te (0.7483, 0.7483, 0.7552)  0.05

6.
Pm2PuThAs4 | PBE | relaxed

Calculated values
total magnetic moment = 5.312 Bohr magnetons per cell
energy relative to the elements = -11.1 eV/f.u.
total energy = -61.0 eV/cell

Unit cell a=4.2275 b=7.3062 c=7.3179 alpha=109.53 beta=90.00 gamma=90.00
Each line ends with the local moment (μB).
Fractional coordinates of all 8 atoms:
Pm (0.0000, 0.5000, 0.5000)  0.02
Pm (0.5000, 0.0000, 0.5000)  0.02
As (0.5000, 0.2452, 0.2443)  -0.06
As (0.0000, 0.2488, 0.7524)  -0.02
As (0.0000, 0.7512, 0.2476)  -0.02
As (0.5000, 0.7548, 0.7557)  -0.06
Pu (0.0000, 0.0000, 0.0000)  5.15
Th (0.5000, 0.5000, 0.0000)  0.02

7.
PmTmPu2As4 | PBE | relaxed

Calculated values
total magnetic moment = 9.901 Bohr magnetons per cell
energy relative to the elements = -10.1 eV/f.u.
total energy = -66.6 eV/cell

Unit cell a=4.1515 b=7.1475 c=7.1873 alpha=70.41 beta=90.00 gamma=90.00
Each line ends with the local moment (μB).
Fractional coordinates of all 8 atoms:
As (0.0000, 0.7565, 0.7424)  -0.10
As (0.0000, 0.2435, 0.2576)  -0.10
As (0.5000, 0.7524, 0.2546)  -0.10
As (0.5000, 0.2476, 0.7454)  -0.10
Pm (0.5000, 0.5000, 0.0000)  0.00
Pu (0.5000, 0.0000, 0.5000)  4.98
Pu (0.0000, 0.0000, 0.0000)  5.06
Tm (0.0000, 0.5000, 0.5000)  -0.05

8.
PmTm2PuAs4 | PBE | relaxed

Calculated values
total magnetic moment = 4.935 Bohr magnetons per cell
energy relative to the elements = -11.0 eV/f.u.
total energy = -57.6 eV/cell

Unit cell a=4.1334 b=7.1306 c=7.1457 alpha=70.50 beta=90.00 gamma=90.00
Each line ends with the local moment (μB).
Fractional coordinates of all 8 atoms:
Pu (0.0000, 0.5000, 0.5000)  5.03
As (0.0000, 0.7582, 0.7433)  -0.04
As (0.0000, 0.2418, 0.2567)  -0.04
As (0.5000, 0.7552, 0.2523)  -0.07
As (0.5000, 0.2448, 0.7477)  -0.07
Tm (0.5000, 0.0000, 0.5000)  0.00
Tm (0.0000, 0.0000, 0.0000)  -0.04
Pm (0.5000, 0.5000, 0.0000)  0.02

9.
Pm2PuUAs4 | PBE | relaxed

Calculated values
total magnetic moment = 7.269 Bohr magnetons per cell
energy relative to the elements = -9.6 eV/f.u.
total energy = -63.3 eV/cell

Unit cell a=4.1701 b=34.0351 c=13.7986 alpha=173.99 beta=90.00 gamma=90.00
Each line ends with the local moment (μB).
Fractional coordinates of all 8 atoms:
U (0.5000, 0.5000, 0.0000)  2.04
Pm (0.0000, 0.5000, 0.5000)  0.01
Pm (0.5000, 0.0000, 0.5000)  0.02
As (0.5000, 0.7723, 0.3060)  -0.08
As (0.0000, 0.7348, 0.7084)  -0.06
As (0.0000, 0.2652, 0.2916)  -0.06
As (0.5000, 0.2277, 0.6940)  -0.08
Pu (0.0000, 0.0000, 0.0000)  5.09

10.
Pm2Pu3UAs6 | PBE | relaxed

Calculated values
total magnetic moment = 6.918 Bohr magnetons per cell
energy relative to the elements = -13.5 eV/f.u.
total energy = -105.2 eV/cell

Unit cell a=4.1492 b=8.3425 c=9.2791 alpha=102.43 beta=102.92 gamma=90.00
Each line ends with the local moment (μB).
Fractional coordinates of all 12 atoms:
U (0.5000, 0.0000, 0.0000)  1.97
Pu (0.5000, 0.5000, 0.0000)  -5.14
Pu (0.1679, 0.8352, 0.3359)  5.05
Pu (0.8321, 0.1648, 0.6641)  5.05
Pm (0.8330, 0.6650, 0.6660)  -0.01
Pm (0.1670, 0.3350, 0.3340)  -0.01
As (0.6649, 0.5901, 0.3298)  -0.04
As (0.9984, 0.2429, 0.9968)  -0.02
As (0.3353, 0.9233, 0.6706)  -0.09
As (0.3351, 0.4099, 0.6702)  -0.04
As (0.0016, 0.7571, 0.0032)  -0.02
As (0.6647, 0.0767, 0.3294)  -0.09

11.
PmPuU2As4 | PBE | relaxed

Calculated values
total magnetic moment = 10.216 Bohr magnetons per cell
energy relative to the elements = -7.9 eV/f.u.
total energy = -68.2 eV/cell

Unit cell a=5.8536 b=5.8536 c=7.1668 alpha=114.08 beta=114.08 gamma=90.06
Each line ends with the local moment (μB).
Fractional coordinates of all 8 atoms:
As (0.2446, 0.2446, 0.4892)  -0.09
As (0.7554, 0.7554, 0.5108)  -0.09
As (0.0024, 0.5024, 0.0048)  -0.07
As (0.4976, 0.9976, 0.9952)  -0.07
Pu (0.7500, 0.2500, 0.5000)  5.16
Pm (0.5000, 0.5000, 0.0000)  0.04
U (0.0000, 0.0000, 0.0000)  2.24
U (0.2500, 0.7500, 0.5000)  2.26

12.
Pm3Pu2UAs6 | PBE | relaxed

Calculated values
total magnetic moment = 12.488 Bohr magnetons per cell
energy relative to the elements = -14.8 eV/f.u.
total energy = -96.9 eV/cell

Unit cell a=4.1692 b=8.3701 c=9.3414 alpha=103.14 beta=102.89 gamma=90.00
Each line ends with the local moment (μB).
Fractional coordinates of all 12 atoms:
As (0.6690, 0.5769, 0.3379)  -0.09
As (0.3310, 0.4231, 0.6621)  -0.09
As (0.6624, 0.0850, 0.3248)  -0.08
As (0.0006, 0.2410, 0.0012)  -0.06
As (0.9994, 0.7590, 0.9988)  -0.06
As (0.3376, 0.9150, 0.6752)  -0.08
Pm (0.1682, 0.8313, 0.3364)  0.01
Pm (0.5000, 0.5000, 0.0000)  0.03
Pm (0.8318, 0.1687, 0.6636)  0.01
Pu (0.1660, 0.3325, 0.3320)  5.08
Pu (0.8340, 0.6675, 0.6680)  5.08
U (0.5000, 0.0000, 0.0000)  2.10

Repeat the fourth record exactly.
Tb2PmPuAs4 | PBE | relaxed

Calculated values
total magnetic moment = 4.935 Bohr magnetons per cell
energy relative to the elements = -11.2 eV/f.u.
total energy = -58.1 eV/cell

Unit cell a=4.1690 b=7.2003 c=7.2059 alpha=70.53 beta=90.00 gamma=90.00
Each line ends with the local moment (μB).
Fractional coordinates of all 8 atoms:
Tb (0.5000, 0.0000, 0.5000)  -0.02
Tb (0.0000, 0.0000, 0.0000)  0.01
Pu (0.5000, 0.5000, 0.0000)  5.03
As (0.5000, 0.2469, 0.7552)  -0.04
As (0.0000, 0.7501, 0.7541)  -0.07
As (0.5000, 0.7531, 0.2448)  -0.04
As (0.0000, 0.2499, 0.2459)  -0.07
Pm (0.0000, 0.5000, 0.5000)  0.02

Which value of total energy does entry 12 give? -96.9 eV/cell